VASP calculation (GGA-PBE) on an optimized crystal structure of LiCeYPb.

As for the crystal system: cubic. As for the formation energy: -0.201 eV/atom. Its total moment is 1.53 μB/f.u.

Lattice parameters (Å, degrees): 5.3818 5.3818 5.3818 60.00 60.00 60.00
With the nearest neighbours (Å) after each atom.
Atoms (fractional coordinates):
Li 0.0000 0.0000 0.0000  4 Ce 3.30, 4 Y 3.30
Ce 0.2500 0.2500 0.2500  4 Pb 3.30, 4 Li 3.30
Y 0.7500 0.7500 0.7500  4 Pb 3.30, 4 Li 3.30
Pb 0.5000 0.5000 0.5000  4 Ce 3.30, 4 Y 3.30


VASP calculation (GGA-PBE) on an optimized crystal structure of KBiHS2.

As for the crystal system: monoclinic. Its total moment is 0.00 μB/f.u.

Lattice parameters (Å, degrees): 7.1809 4.1869 9.0304 90.00 113.64 90.00
With the nearest neighbours (Å) after each atom.
Atoms (fractional coordinates):
K 0.0000 0.2046 0.2500  6 S 3.22-3.60, 2 H 3.61
K 0.0000 0.7954 0.7500  6 S 3.22-3.60, 2 H 3.61
Bi 0.5000 0.1138 0.7500  2 S 2.69, 2 H 2.78
Bi 0.5000 0.8862 0.2500  2 S 2.69, 2 H 2.78
H 0.5000 0.5000 0.0000  2 S 1.67
H 0.5000 0.5000 0.5000  2 S 1.67
S 0.3037 0.3193 0.0192  1 H 1.67
S 0.3037 0.6807 0.5192  1 H 1.67
S 0.6963 0.3193 0.4808  1 H 1.67
S 0.6963 0.6807 0.9808  1 H 1.67


VASP calculation (GGA-PBE) on an optimized crystal structure of Pa2Ga2Rh7.

As for the crystal system: orthorhombic. As for the formation energy: -0.651 eV/atom. Its total moment is 0.00 μB/f.u.

Lattice parameters (Å, degrees): 7.2794 7.2794 7.2794 148.21 78.19 110.78
With the nearest neighbours (Å) after each atom.
Atoms (fractional coordinates):
Pa 0.1693 0.0000 0.1693  6 Rh 2.59-2.80
Pa 0.8307 0.0000 0.8307  6 Rh 2.59-2.80
Ga 0.3009 0.3009 0.0000  6 Rh 2.54-2.59
Ga 0.5630 0.0630 0.5000  8 Rh 2.64-2.73, 2 Ga 2.94
Rh 0.1162 0.7511 0.3651  2 Ga 2.54
Rh 0.3638 0.5244 0.8394  3 Ga 2.59-2.71, 2 Pa 2.78, 4 Rh 2.79-2.84
Rh 0.3860 0.7511 0.6349  2 Ga 2.54
Rh 0.5884 0.2676 0.3208  1 Ga 2.64, 3 Pa 2.77-2.80, 7 Rh 2.79-2.90
Rh 0.6849 0.5244 0.1606  3 Ga 2.59-2.71, 2 Pa 2.78, 4 Rh 2.79-2.84
Rh 0.7892 0.7892 0.0000  2 Pa 2.59, 2 Ga 2.73, 6 Rh 2.84-2.85
Rh 0.9469 0.2676 0.6792  1 Ga 2.64, 3 Pa 2.77-2.80, 7 Rh 2.79-2.90


VASP calculation (GGA-PBE) on an optimized crystal structure of Ca3Hf2ZrP6.

As for the crystal system: monoclinic. As for the formation energy: -1.260 eV/atom. Its total moment is 0.00 μB/f.u.

Lattice parameters (Å, degrees): 6.6466 6.6466 6.9641 99.15 99.15 120.00
With the nearest neighbours (Å) after each atom.
Atoms (fractional coordinates):
Ca 0.0000 0.0000 0.0000  6 P 2.86-2.88
Ca 0.3342 0.6658 0.0000  6 P 2.87-2.88
Ca 0.6658 0.3342 0.0000  6 P 2.87-2.88
Hf 0.1668 0.8332 0.5000  6 P 2.65
Hf 0.8332 0.1668 0.5000  6 P 2.65
Zr 0.5000 0.5000 0.5000  6 P 2.67-2.68
P 0.0896 0.4255 0.2767  2 Hf 2.65, 1 Zr 2.68, 3 Ca 2.87-2.88
P 0.2384 0.2384 0.7230  2 Hf 2.65, 1 Zr 2.67, 3 Ca 2.86-2.87
P 0.4255 0.0896 0.2767  2 Hf 2.65, 1 Zr 2.68, 3 Ca 2.87-2.88
P 0.5745 0.9104 0.7233  2 Hf 2.65, 1 Zr 2.68, 3 Ca 2.87-2.88
P 0.7616 0.7616 0.2770  2 Hf 2.65, 1 Zr 2.67, 3 Ca 2.86-2.87
P 0.9104 0.5745 0.7233  2 Hf 2.65, 1 Zr 2.68, 3 Ca 2.87-2.88


VASP calculation (GGA-PBE) on an optimized crystal structure of CsBeGe3.

As for the crystal system: cubic. As for the formation energy: 2.330 eV/atom. Its total moment is 0.00 μB/f.u. Its polymorph energy (0 for the lowest one) is 1.754 eV/atom.

Lattice parameters (Å, degrees): 5.7607 5.7607 5.7607 90.00 90.00 90.00
With the nearest neighbours (Å) after each atom.
Atoms (fractional coordinates):
Cs 0.0000 0.0000 0.0000  6 Ge 2.88
Be 0.5000 0.5000 0.5000  12 Ge 4.07
Ge 0.0000 0.0000 0.5000  2 Cs 2.88
Ge 0.0000 0.5000 0.0000  2 Cs 2.88
Ge 0.5000 0.0000 0.0000  2 Cs 2.88


VASP calculation (GGA-PBE) on an optimized crystal structure of NaGa2RePt.

As for the crystal system: tetragonal. As for the formation energy: 1.672 eV/atom. Its total moment is 2.71 μB/f.u. Its polymorph energy (0 for the lowest one) is 0.519 eV/atom.

Lattice parameters (Å, degrees): 4.6074 4.6074 4.6792 90.00 90.00 90.00
With the nearest neighbours (Å) after each atom.
Atoms (fractional coordinates):
Na 0.0000 0.0000 0.0000  4 Ga 2.30, 2 Pt 2.34
Ga 0.0000 0.5000 0.0000  2 Na 2.30
Ga 0.5000 0.0000 0.0000  2 Na 2.30
Re 0.5000 0.5000 0.5000  4 Pt 3.26, 8 Ga 3.28
Pt 0.0000 0.0000 0.5000  2 Na 2.34


no.,final energy (eV/atom)
1,-4.706
2,-3.718
3,-7.606
4,-6.837
5,-1.357
6,-3.501